[1]
A plane-wave DFT calculation with PBE was carried out for a relaxed structure of SrTlAu6.

Calculated values
DOS at the Fermi energy = 4.57 states/eV/f.u.
space-group type = No. 200
theoretical density = 13.98 g/cm³
total magnetic moment = 0.00 μB/cell
formation energy from the elements = -113 kJ/mol of formula units

Cell lengths 5.5936, 5.5936, 5.5936 Å; angles 90.00, 90.00, 90.00 degrees
Element x y z (fractional)
Au 0.0000 0.5000 0.7511
Au 0.5000 0.7511 0.0000
Tl 0.0000 0.0000 0.0000
Sr 0.5000 0.5000 0.5000
Au 0.2489 0.0000 0.5000
Au 0.7511 0.0000 0.5000
Au 0.5000 0.2489 0.0000
Au 0.0000 0.5000 0.2489


[2]
A plane-wave DFT calculation with PBE was carried out for a relaxed structure of Sr4TlAu3.

Calculated values
DOS at the Fermi energy = 3.11 states/eV/f.u.
space-group type = No. 25
theoretical density = 7.53 g/cm³
total magnetic moment = 0.00 μB/cell
formation energy from the elements = -510 kJ/mol of formula units

Cell lengths 4.3058, 4.8920, 11.9902 Å; angles 90.00, 90.00, 90.00 degrees
Element x y z (fractional)
Sr 0.0000 0.5000 0.8515
Au 0.0000 0.5000 0.5783
Sr 0.0000 0.0000 0.1438
Sr 0.5000 0.5000 0.3705
Sr 0.5000 0.0000 0.6376
Au 0.0000 0.0000 0.4246
Au 0.5000 0.0000 0.9164
Tl 0.5000 0.5000 0.0773